A plane-wave DFT calculation with PBE-GGA was carried out for a geometry-optimized PmMnFeB2 structure. Values from VASP.

Summary:
energy	-7.4879	eV per atom
mass density	7.00	Mg/m³
space group	I-4m2 (119)

Geometry as Quantum ESPRESSO input:
```
&SYSTEM
  ibrav = 0, nat = 10, ntyp = 4
/
ATOMIC_SPECIES
Pm 145.00 Pm.upf
Mn 54.94 Mn.upf
Fe 55.84 Fe.upf
B 10.81 B.upf
CELL_PARAMETERS angstrom
3.623 0.000 0.000
0.000 3.623 0.000
0.000 0.000 10.031
ATOMIC_POSITIONS crystal
Pm 0.000 0.000 0.000
Pm 0.500 0.500 0.500
Mn 0.000 0.500 0.750
Mn 0.500 0.000 0.250
Fe 0.000 0.500 0.250
Fe 0.500 0.000 0.750
B 0.000 0.000 0.343
B 0.000 0.000 0.657
B 0.500 0.500 0.157
B 0.500 0.500 0.843
```